Entry 1:
Material: DyZrTe
Method: DFT, PBE
State: relaxed

Cell: 4.8969 4.8969 4.8969 Å, 60.00 60.00 60.00°
Positions (direct):
Dy: 0.0000 0.0000 0.0000
Zr: 0.5000 0.5000 0.5000
Te: 0.2500 0.2500 0.2500

Calculated values
electronic total energy	-5.74	eV per atom
offset from the most stable computed form	0	meV per atom
SG	F-43m (216)
calculated density	7.6	Mg/m³


Entry 2:
Material: DyTh
Method: DFT, PBE
State: relaxed

Cell: 3.5322 3.5322 5.8855 Å, 90.00 90.00 120.00°
Positions (direct):
Dy: 0.0000 0.0000 0.0000
Th: 0.6667 0.3333 0.5000

Calculated values
electronic total energy	-5.95	eV per atom
offset from the most stable computed form	0	meV per atom
formation energy from the elements	0.06	eV/atom
SG	P-6m2 (187)
calculated density	10.3	Mg/m³


Entry 3:
Material: DyTh
Method: DFT, PBE
State: relaxed

Cell: 4.6149 4.6149 4.6149 Å, 60.00 60.00 60.00°
Positions (direct):
Dy: 0.0000 0.0000 0.0000
Th: 0.5000 0.5000 0.5000

Calculated values
electronic total energy	-5.07	eV per atom
offset from the most stable computed form	885	meV per atom
formation energy from the elements	0.94	eV/atom
SG	Fm-3m (225)
calculated density	9.4	Mg/m³


Entry 4:
Material: DyTh
Method: DFT, PBE
State: relaxed

Cell: 4.8869 4.8869 4.8869 Å, 60.00 60.00 60.00°
Positions (direct):
Dy: 0.0000 0.0000 0.0000
Th: 0.7500 0.7500 0.7500

Calculated values
electronic total energy	-3.97	eV per atom
offset from the most stable computed form	1984	meV per atom
formation energy from the elements	2.04	eV/atom
SG	F-43m (216)
calculated density	7.9	Mg/m³


Entry 5:
Material: DyTh
Method: DFT, PBE
State: relaxed

Cell: 3.9935 3.9935 3.9935 Å, 90.00 90.00 90.00°
Positions (direct):
Dy: 0.0000 0.0000 0.0000
Th: 0.5000 0.5000 0.5000

Calculated values
electronic total energy	-5.86	eV per atom
offset from the most stable computed form	91	meV per atom
formation energy from the elements	0.15	eV/atom
SG	Pm-3m (221)
calculated density	10.3	Mg/m³


Entry 6:
Material: DyTh2
Method: DFT, PBE
State: relaxed

Cell: 8.8407 8.8407 8.8407 Å, 60.00 60.00 60.00°
Positions (direct):
Dy: 0.1250 0.1250 0.1250
Dy: 0.8750 0.8750 0.8750
Th: 0.0000 0.0000 0.0000
Th: 0.0000 0.0000 0.5000
Th: 0.0000 0.5000 0.0000
Th: 0.5000 0.0000 0.0000

Calculated values
electronic total energy	-3.71	eV per atom
formation energy from the elements	2.76	eV/atom
SG	Fd-3m (227)
calculated density	4.3	Mg/m³


Entry 7:
Material: DyThTl
Method: DFT, PBE
State: relaxed

Cell: 5.2364 5.2364 5.2364 Å, 60.00 60.00 60.00°
Positions (direct):
Dy: 0.0000 0.0000 0.0000
Th: 0.5000 0.5000 0.5000
Tl: 0.2500 0.2500 0.2500

Calculated values
electronic total energy	-4.62	eV per atom
offset from the most stable computed form	0	meV per atom
SG	F-43m (216)
calculated density	9.8	Mg/m³


Entry 8:
Material: DyTmTh
Method: DFT, PBE
State: relaxed

Cell: 5.3874 5.3874 5.3874 Å, 60.00 60.00 60.00°
Positions (direct):
Dy: 0.0000 0.0000 0.0000
Tm: 0.2500 0.2500 0.2500
Th: 0.5000 0.5000 0.5000

Calculated values
electronic total energy	-4.70	eV per atom
offset from the most stable computed form	0	meV per atom
formation energy from the elements	0.79	eV/atom
SG	F-43m (216)
calculated density	8.5	Mg/m³


Entry 9:
Material: DyThU
Method: DFT, PBE
State: relaxed

Cell: 5.2049 5.2049 5.2049 Å, 60.00 60.00 60.00°
Positions (direct):
Dy: 0.0000 0.0000 0.0000
Th: 0.5000 0.5000 0.5000
U: 0.2500 0.2500 0.2500

Calculated values
electronic total energy	-6.60	eV per atom
offset from the most stable computed form	0	meV per atom
formation energy from the elements	1.17	eV/atom
SG	F-43m (216)
calculated density	10.5	Mg/m³


Entry 10:
Material: DyYTh
Method: DFT, PBE
State: relaxed

Cell: 5.4188 5.4188 5.4188 Å, 60.00 60.00 60.00°
Positions (direct):
Dy: 0.0000 0.0000 0.0000
Y: 0.2500 0.2500 0.2500
Th: 0.7500 0.7500 0.7500

Calculated values
electronic total energy	-5.35	eV per atom
offset from the most stable computed form	0	meV per atom
formation energy from the elements	0.81	eV/atom
SG	F-43m (216)
calculated density	7.1	Mg/m³


Entry 11:
Material: DyThZn
Method: DFT, PBE
State: relaxed

Cell: 4.9688 4.9688 4.9688 Å, 60.00 60.00 60.00°
Positions (direct):
Dy: 0.0000 0.0000 0.0000
Th: 0.5000 0.5000 0.5000
Zn: 0.2500 0.2500 0.2500

Calculated values
electronic total energy	-4.30	eV per atom
offset from the most stable computed form	0	meV per atom
formation energy from the elements	0.13	eV/atom
SG	F-43m (216)
calculated density	8.8	Mg/m³


Entry 12:
Material: DyThZr
Method: DFT, PBE
State: relaxed

Cell: 5.1841 5.1841 5.1841 Å, 60.00 60.00 60.00°
Positions (direct):
Dy: 0.0000 0.0000 0.0000
Th: 0.7500 0.7500 0.7500
Zr: 0.2500 0.2500 0.2500

Calculated values
electronic total energy	-5.90	eV per atom
formation energy from the elements	0.95	eV/atom
SG	F-43m (216)
calculated density	8.2	Mg/m³